(1)
! RbCu2RuBr PBE relaxed; values from VASP
! * total DFT energy (no corrections): -9.96 eV for the cell shown
! * formation energy without anion corrections: 2.0288 eV per atom
! * space-group type: P4/mmm, No. 123
! * D(E_F): 0.66 states/eV/atom
&SYSTEM
  ibrav = 0, nat = 5, ntyp = 4
/
ATOMIC_SPECIES
Rb 85.47 Rb.upf
Cu 63.55 Cu.upf
Ru 101.07 Ru.upf
Br 79.90 Br.upf
CELL_PARAMETERS angstrom
5.3336 0.0000 0.0000
0.0000 5.3336 0.0000
0.0000 0.0000 5.2938
ATOMIC_POSITIONS angstrom
Rb 0.0000 0.0000 0.0000
Cu 0.0000 2.6668 0.0000
Cu 2.6668 0.0000 0.0000
Ru 0.0000 0.0000 2.6469
Br 2.6668 2.6668 2.6469

***

(2)
! Li2Tb2PdO6 PBE relaxed; values from VASP
! * total DFT energy (no corrections): -69.51 eV for the cell shown
! * formation energy without anion corrections: -1.9526 eV per atom
! * space-group type: R-3m, No. 166
! * D(E_F): 0.00 states/eV/atom
&SYSTEM
  ibrav = 0, nat = 11, ntyp = 4
/
ATOMIC_SPECIES
Li 6.94 Li.upf
Tb 158.93 Tb.upf
Pd 106.42 Pd.upf
O 16.00 O.upf
CELL_PARAMETERS angstrom
2.7988 1.6159 5.0196
-2.7988 1.6159 5.0196
0.0000 -3.2317 5.0196
ATOMIC_POSITIONS angstrom
Li 0.0000 0.0000 1.2055
Li 0.0000 0.0000 13.8532
Tb 0.0000 0.0000 4.4505
Tb 0.0000 0.0000 10.6082
Pd 0.0000 0.0000 7.5293
O 0.0000 -1.4718 6.1419
O -1.2746 0.7359 6.1419
O -1.2746 -0.7359 8.9168
O 1.2746 0.7359 6.1419
O 1.2746 -0.7359 8.9168
O 0.0000 1.4718 8.9168

***

(3)
! NdYPtAu PBE relaxed; values from VASP
! * total DFT energy (no corrections): -24.61 eV for the cell shown
! * space-group type: Amm2, No. 38
! * D(E_F): 0.60 states/eV/atom
! * energy above the most stable polymorph in this dataset: 0.000 eV per formula unit
! * ΔH_f (0 K): -4.06 eV per formula unit
&SYSTEM
  ibrav = 0, nat = 4, ntyp = 4
/
ATOMIC_SPECIES
Nd 144.24 Nd.upf
Y 88.91 Y.upf
Pt 195.08 Pt.upf
Au 196.97 Au.upf
CELL_PARAMETERS angstrom
4.6729 0.0000 0.0000
0.0000 1.9289 5.4194
0.0000 -1.9289 5.4194
ATOMIC_POSITIONS angstrom
Nd 0.0000 0.0000 0.0000
Y 2.3365 0.0000 7.8500
Pt 0.0000 0.0000 2.9538
Au 2.3365 0.0000 4.8304

***

(4)
! Y3Co PBE relaxed; values from VASP
! * total DFT energy (no corrections): -24.88 eV for the cell shown
! * space-group type: R-3m, No. 166
! * D(E_F): 1.60 states/eV/atom
! * ΔH_f (0 K): 1.62 eV per formula unit
&SYSTEM
  ibrav = 0, nat = 4, ntyp = 2
/
ATOMIC_SPECIES
Y 88.91 Y.upf
Co 58.93 Co.upf
CELL_PARAMETERS angstrom
5.0846 2.9356 1.1429
-5.0846 2.9356 1.1429
0.0000 -5.8712 1.1429
ATOMIC_POSITIONS angstrom
Y -2.5423 -1.4678 1.1429
Y -2.5423 1.4678 2.2858
Y 0.0000 2.9356 1.1429
Co 0.0000 0.0000 0.0000

***

(5)
! SrLiH6Rh PBE relaxed; values from VASP
! * total DFT energy (no corrections): -34.94 eV for the cell shown
! * space-group type: P312, No. 149
! * D(E_F): 0.00 states/eV/atom
&SYSTEM
  ibrav = 0, nat = 9, ntyp = 4
/
ATOMIC_SPECIES
Sr 87.62 Sr.upf
Li 6.94 Li.upf
H 1.01 H.upf
Rh 102.91 Rh.upf
CELL_PARAMETERS angstrom
4.8504 0.0000 0.0000
-2.4252 4.2006 0.0000
0.0000 0.0000 4.7944
ATOMIC_POSITIONS angstrom
Sr 0.0000 0.0000 0.0000
Li 0.0000 2.8004 2.3972
H 1.8954 0.1810 3.3855
H 1.1044 1.5510 1.4089
H 2.9550 0.1810 1.4089
H 1.6342 2.4686 3.3855
H 3.7460 1.5510 3.3855
H 3.2162 2.4686 1.4089
Rh 2.4252 1.4002 2.3972

***

(6)
! Ba4Sr2Au PBE relaxed; values from VASP
! * total DFT energy (no corrections): -15.85 eV for the cell shown
! * space-group type: C2/m, No. 12
! * D(E_F): 1.11 states/eV/atom
! * energy above the most stable polymorph in this dataset: 0.000 eV per formula unit
! * ΔH_f (0 K): -1.52 eV per formula unit
&SYSTEM
  ibrav = 0, nat = 7, ntyp = 3
/
ATOMIC_SPECIES
Ba 137.33 Ba.upf
Sr 87.62 Sr.upf
Au 196.97 Au.upf
CELL_PARAMETERS angstrom
8.3472 -2.3032 0.0000
8.3472 2.3032 0.0000
-2.9674 0.0000 10.1377
ATOMIC_POSITIONS angstrom
Ba -0.4450 0.0000 3.0445
Ba 3.0528 0.0000 9.8028
Ba 10.6742 0.0000 0.3349
Ba 14.1721 0.0000 7.0932
Sr 4.0360 0.0000 3.7198
Sr 9.6911 0.0000 6.4179
Au 6.8635 0.0000 5.0688

***

(7)
! ZnIrCl2 PBE relaxed; values from VASP
! * total DFT energy (no corrections): -13.95 eV for the cell shown
! * formation energy without anion corrections: -0.0302 eV per atom
! * space-group type: Cmm2, No. 35
! * D(E_F): 0.60 states/eV/atom
! * energy above the most stable polymorph in this dataset: 0.718 eV per formula unit
&SYSTEM
  ibrav = 0, nat = 4, ntyp = 3
/
ATOMIC_SPECIES
Zn 65.41 Zn.upf
Ir 192.22 Ir.upf
Cl 35.45 Cl.upf
CELL_PARAMETERS angstrom
1.6190 -2.8476 0.0000
1.6190 2.8476 0.0000
0.0000 0.0000 8.9474
ATOMIC_POSITIONS angstrom
Zn 0.0000 0.0000 0.0000
Ir 1.6190 0.0000 2.0378
Cl 0.0000 0.0000 3.7066
Cl 1.6190 0.0000 7.2809

***

(8)
! Si2TcAs PBE relaxed; values from VASP
! * total DFT energy (no corrections): -24.42 eV for the cell shown
! * formation energy without anion corrections: 0.3600 eV per atom
! * space-group type: I4/mmm, No. 139
! * D(E_F): 0.56 states/eV/atom
&SYSTEM
  ibrav = 0, nat = 4, ntyp = 3
/
ATOMIC_SPECIES
Si 28.09 Si.upf
Tc 98.00 Tc.upf
As 74.92 As.upf
CELL_PARAMETERS angstrom
-1.9571 1.9571 3.8161
1.9571 -1.9571 3.8161
1.9571 1.9571 -3.8161
ATOMIC_POSITIONS angstrom
Si 1.9571 0.0000 1.9081
Si 0.0000 1.9571 1.9081
Tc 0.0000 0.0000 0.0000
As 0.0000 0.0000 3.8161

***

(9)
! Tb2Ga2CuPd5 PBE relaxed; values from VASP
! * total DFT energy (no corrections): -103.47 eV for the cell shown
! * space-group type: P4/mbm, No. 127
! * D(E_F): 0.63 states/eV/atom
! * ΔH_f (0 K): -6.36 eV per formula unit
&SYSTEM
  ibrav = 0, nat = 20, ntyp = 4
/
ATOMIC_SPECIES
Tb 158.93 Tb.upf
Ga 69.72 Ga.upf
Cu 63.55 Cu.upf
Pd 106.42 Pd.upf
CELL_PARAMETERS angstrom
9.9250 0.0000 0.0000
0.0000 9.9250 0.0000
0.0000 0.0000 3.6093
ATOMIC_POSITIONS angstrom
Tb 1.7379 3.2246 0.0000
Tb 3.2246 8.1871 0.0000
Tb 6.7004 1.7379 0.0000
Tb 8.1871 6.7004 0.0000
Ga 1.2412 6.2037 0.0000
Ga 3.7213 1.2412 0.0000
Ga 6.2037 8.6838 0.0000
Ga 8.6838 3.7213 0.0000
Cu 0.0000 0.0000 0.0000
Cu 4.9625 4.9625 0.0000
Pd 0.0000 4.9625 1.8046
Pd 0.5769 7.9534 1.8046
Pd 1.9716 0.5769 1.8046
Pd 2.9909 5.5394 1.8046
Pd 4.3856 2.9909 1.8046
Pd 4.9625 0.0000 1.8046
Pd 5.5394 6.9341 1.8046
Pd 6.9341 4.3856 1.8046
Pd 7.9534 9.3481 1.8046
Pd 9.3481 1.9716 1.8046

***

(10)
! Y2NbP PBE relaxed; values from VASP
! * total DFT energy (no corrections): -57.53 eV for the cell shown
! * space-group type: I-42d, No. 122
! * D(E_F): 1.43 states/eV/atom
! * ΔH_f (0 K): -0.35 eV per formula unit
&SYSTEM
  ibrav = 0, nat = 8, ntyp = 3
/
ATOMIC_SPECIES
Y 88.91 Y.upf
Nb 92.91 Nb.upf
P 30.97 P.upf
CELL_PARAMETERS angstrom
-4.7629 4.7629 2.4050
4.7629 -4.7629 2.4050
4.7629 4.7629 -2.4050
ATOMIC_POSITIONS angstrom
Y 1.1415 2.3814 0.6013
Y -2.3814 3.6213 1.8038
Y -1.1415 7.1443 0.6013
Y 2.3814 5.9044 1.8038
Nb 4.7629 0.0000 1.2025
Nb 0.0000 0.0000 2.4050
P 0.0000 0.0000 0.0000
P 0.0000 4.7629 1.2025

***

(11)
! Pm6Mg2Tl PBE relaxed; values from VASP
! * total DFT energy (no corrections): -35.12 eV for the cell shown
! * space-group type: Fmmm, No. 69
! * D(E_F): 1.18 states/eV/atom
! * ΔH_f (0 K): -1.06 eV per formula unit
&SYSTEM
  ibrav = 0, nat = 9, ntyp = 3
/
ATOMIC_SPECIES
Pm 145.00 Pm.upf
Mg 24.30 Mg.upf
Tl 204.38 Tl.upf
CELL_PARAMETERS angstrom
0.0000 6.8910 7.8074
2.5903 0.0000 7.8074
2.5903 6.8910 0.0000
ATOMIC_POSITIONS angstrom
Pm 2.5903 2.1458 7.8074
Pm 2.5903 4.6916 5.2132
Pm 2.5903 9.0905 5.2132
Pm 2.5903 4.6916 10.4016
Pm 2.5903 9.0905 10.4016
Pm 2.5903 11.6362 7.8074
Mg 2.5903 6.8910 2.6673
Mg 2.5903 6.8910 12.9475
Tl 2.5903 6.8910 7.8074

***

(12)
! Na2Sr2Tl PBE relaxed; values from VASP
! * total DFT energy (no corrections): -8.74 eV for the cell shown
! * space-group type: I4/mmm, No. 139
! * D(E_F): 0.78 states/eV/atom
! * energy above the most stable polymorph in this dataset: 0.538 eV per formula unit
! * ΔH_f (0 K): -0.37 eV per formula unit
&SYSTEM
  ibrav = 0, nat = 5, ntyp = 3
/
ATOMIC_SPECIES
Na 22.99 Na.upf
Sr 87.62 Sr.upf
Tl 204.38 Tl.upf
CELL_PARAMETERS angstrom
-2.1542 2.1542 10.7605
2.1542 -2.1542 10.7605
2.1542 2.1542 -10.7605
ATOMIC_POSITIONS angstrom
Na 2.1542 0.0000 5.3803
Na 0.0000 2.1542 5.3803
Sr 0.0000 0.0000 1.9158
Sr 0.0000 0.0000 19.6053
Tl 0.0000 0.0000 10.7605